A plane-wave DFT calculation with PBE-GGA was carried out for an optimized crystal structure of LiGaHgRh2.

Lattice parameters (Å, degrees): 5.0853 5.0853 4.8663 90.00 90.00 90.00
Closest atoms and distances in Å follow each position.
Fractional positions:
Rh: 0.0000 0.5000 0.0000  2 Hg 2.54
Rh: 0.5000 0.0000 0.0000  2 Hg 2.54
Hg: 0.0000 0.0000 0.0000  2 Ga 2.43, 4 Rh 2.54
Ga: 0.0000 0.0000 0.5000  2 Hg 2.43
Li: 0.5000 0.5000 0.5000  8 Rh 3.52, 4 Ga 3.60

Properties
Formation energy (meV per atom): 1061
E above lowest polymorph (meV per atom): 613
D(E_F) (states/eV per atom): 1.097
Crystal system: tetragonal
Space group: P4/mmm (123)

A plane-wave DFT calculation with PBE-GGA was carried out for an optimized crystal structure of PmNpO2.

Lattice parameters (Å, degrees): 3.0331 3.0331 6.2571 90.00 90.00 90.00
Closest atoms and distances in Å follow each position.
Fractional positions:
Np: 0.5000 0.5000 0.0000  8 O 2.69
O: 0.0000 0.0000 0.7407  4 Pm 2.62, 4 Np 2.69
O: 0.0000 0.0000 0.2593  4 Pm 2.62, 4 Np 2.69
Pm: 0.5000 0.5000 0.5000  8 O 2.62

Properties
Formation energy (no corrections) (eV per formula unit): -7.433
E above lowest polymorph (meV per atom): 599
D(E_F) (states/eV per atom): 1.009
Crystal system: tetragonal
Space group: P4/mmm (123)

A plane-wave DFT calculation with PBE-GGA was carried out for an optimized crystal structure of HfCr2HgPd.

Lattice parameters (Å, degrees): 4.9057 4.9761 4.9057 90.00 90.00 90.00
Closest atoms and distances in Å follow each position.
Fractional positions:
Cr: 0.0000 0.0000 0.5000  2 Hg 2.45
Cr: 0.5000 0.0000 0.0000  2 Hg 2.45
Hf: 0.5000 0.5000 0.5000  4 Pd 3.47, 8 Cr 3.49
Hg: 0.0000 0.0000 0.0000  4 Cr 2.45, 2 Pd 2.49
Pd: 0.0000 0.5000 0.0000  2 Hg 2.49

Properties
Formation energy (meV per atom): 1370
D(E_F) (states/eV per atom): 1.135
Crystal system: tetragonal
Space group: P4/mmm (123)